(1)
# La2Sm3Mg

La2Sm3Mg after structural relaxation (PBE, the Alexandria database).

Geometry as extended XYZ:
```
6
Lattice="-2.698 -4.952 2.812 -1.597 -2.250 -5.495 6.597 1.039 1.098" Properties=species:S:1:pos:R:3 pbc="T T T"
La 1.555 -4.352 0.888
La 0.543 -2.101 -3.180
Sm -0.081 -0.114 -0.279
Sm 2.801 -2.180 -1.151
Sm -1.070 -4.788 -2.399
Mg -1.678 -2.940 0.274
```

**Fermi-level density of states**: 9.88 states/eV per cell
**Space-group type**: Imm2, No. 44
**Formation energy**: 0.299 eV/atom
**V**: 199 Å³ per cell
**Total moment**: 0.00 μB per formula unit
**Relative energy among the computed polymorphs**: 248 meV/atom
**Theoretical density**: 6.3 g/cm3

(2)
# La2SmMg

La2SmMg after structural relaxation (PBE, the Alexandria database).

Geometry as extended XYZ:
```
4
Lattice="3.651 0.000 0.000 1.826 3.162 0.000 1.826 1.054 11.679" Properties=species:S:1:pos:R:3 pbc="T T T"
La 1.826 1.054 8.857
La 1.826 1.054 2.816
Sm 3.651 2.108 5.851
Mg 5.477 3.162 11.674
```

**Fermi-level density of states**: 5.42 states/eV per cell
**Space-group type**: R3m, No. 160
**Formation energy**: 0.036 eV/atom
**V**: 135 Å³ per cell
**Total moment**: 0.00 μB per formula unit
**Relative energy among the computed polymorphs**: 79 meV/atom
**Theoretical density**: 5.6 g/cm3

(3)
# La2SmMg2

La2SmMg2 after structural relaxation (PBE, the Alexandria database).

Geometry as extended XYZ:
```
10
Lattice="3.855 0.000 -0.517 0.000 5.617 0.000 -0.012 0.000 14.578" Properties=species:S:1:pos:R:3 pbc="T T T"
La 0.168 4.213 1.260
La 3.676 1.404 12.800
La 0.904 4.213 6.787
La 2.939 1.404 7.273
Sm 3.268 4.213 9.790
Sm 0.575 1.404 4.270
Mg 2.463 4.213 3.753
Mg 1.380 1.404 10.307
Mg 1.703 4.213 12.738
Mg 2.140 1.404 1.323
```

**Fermi-level density of states**: 12.35 states/eV per cell
**Space-group type**: P2_1/m, No. 11
**Formation energy**: -0.070 eV/atom
**V**: 316 Å³ per cell
**Total moment**: 0.00 μB per formula unit
**Theoretical density**: 5.0 g/cm3

(4)
# La6Sm4Mg

La6Sm4Mg after structural relaxation (PBE, the Alexandria database).

Geometry as extended XYZ:
```
11
Lattice="7.467 -2.827 -5.415 -5.136 7.968 1.787 -1.822 2.827 9.042" Properties=species:S:1:pos:R:3 pbc="T T T"
La -4.826 7.487 5.528
La -3.767 5.844 7.846
La -1.388 4.951 4.143
La 1.165 2.571 -1.814
La 3.531 0.481 -1.272
La 2.823 0.000 1.814
Sm -5.091 7.898 10.142
Sm 0.151 2.897 1.984
Sm -6.276 9.736 7.548
Sm 4.766 -1.768 -3.430
Mg 0.000 0.000 0.000
```

**Fermi-level density of states**: 15.07 states/eV per cell
**Space-group type**: I-42m, No. 121
**Formation energy**: 0.208 eV/atom
**V**: 378 Å³ per cell
**Total moment**: 0.00 μB per formula unit
**Theoretical density**: 6.4 g/cm3

(5)
# La8Sm2Mg3

La8Sm2Mg3 after structural relaxation (PBE, the Alexandria database).

Geometry as extended XYZ:
```
13
Lattice="-4.615 -2.851 -1.385 7.866 -11.169 -3.217 -6.425 6.618 7.784" Properties=species:S:1:pos:R:3 pbc="T T T"
La 3.419 -5.551 0.036
La -6.593 -1.851 3.146
La -4.661 -3.600 0.312
La 1.488 -3.802 2.870
La -2.420 -3.119 3.171
La -5.595 1.163 4.932
La 2.421 -8.565 -1.750
La -0.754 -4.282 0.011
Sm -3.791 -0.252 1.833
Sm 0.617 -7.150 1.349
Mg -2.307 -1.425 -0.693
Mg -4.583 4.197 6.629
Mg 6.023 -8.748 -2.062
```

**Fermi-level density of states**: 17.97 states/eV per cell
**Space-group type**: P2/m, No. 10
**Formation energy**: 0.051 eV/atom
**V**: 446 Å³ per cell
**Total moment**: 0.00 μB per formula unit
**Theoretical density**: 5.5 g/cm3

(6)
# La4Sm7Mg

La4Sm7Mg after structural relaxation (PBE, the Alexandria database).

Geometry as extended XYZ:
```
12
Lattice="-3.409 4.836 -1.036 -7.191 -3.269 -9.014 -5.864 0.319 3.372" Properties=species:S:1:pos:R:3 pbc="T T T"
La -6.794 2.465 -0.968
La -9.670 -0.578 -5.710
La -11.574 2.132 -4.207
La -4.890 -0.245 -2.471
Sm -12.187 1.003 -7.463
Sm -4.277 0.884 0.786
Sm -6.049 -1.891 -6.342
Sm -10.415 3.778 -0.336
Sm -9.345 0.423 -2.106
Sm -1.704 2.418 -0.518
Sm -7.119 1.464 -4.571
Mg 0.000 0.000 0.000
```

**Fermi-level density of states**: 18.33 states/eV per cell
**Space-group type**: C2/m, No. 12
**Formation energy**: 0.209 eV/atom
**V**: 423 Å³ per cell
**Total moment**: 0.00 μB per formula unit
**Theoretical density**: 6.4 g/cm3

(7)
# La8Sm4Mg

La8Sm4Mg after structural relaxation (PBE, the Alexandria database).

Geometry as extended XYZ:
```
13
Lattice="10.384 -0.001 -5.603 -6.703 9.711 -0.001 -2.899 -2.001 7.053" Properties=species:S:1:pos:R:3 pbc="T T T"
La -0.496 6.827 -0.920
La 1.278 0.883 2.369
La 2.398 1.655 -1.846
La -3.433 1.260 6.062
La -1.615 6.054 3.295
La -6.743 6.055 6.062
La 7.525 1.655 -4.612
La 4.215 6.449 -4.613
Sm 0.000 0.000 0.000
Sm -6.250 2.855 7.052
Sm 1.841 4.855 -2.802
Sm 5.192 0.000 -2.801
Mg -4.801 3.855 3.526
```

**Fermi-level density of states**: 25.12 states/eV per cell
**Space-group type**: R-3m, No. 166
**Formation energy**: 0.352 eV/atom
**V**: 478 Å³ per cell
**Total moment**: 0.00 μB per formula unit
**Theoretical density**: 6.0 g/cm3

(8)
# La3Sm6Mg2

La3Sm6Mg2 after structural relaxation (PBE, the Alexandria database).

Geometry as extended XYZ:
```
11
Lattice="-1.678 -9.298 2.380 0.634 -1.540 -6.200 4.235 -14.704 -3.190" Properties=species:S:1:pos:R:3 pbc="T T T"
La 0.000 0.000 0.000
La 0.520 -14.058 -2.678
La 2.671 -11.484 -4.332
Sm 3.774 -13.889 -6.834
Sm 2.273 -17.130 -1.618
Sm -0.582 -11.653 -0.176
Sm 0.918 -8.412 -5.391
Sm 1.686 -16.388 -5.215
Sm 1.506 -9.154 -1.795
Mg -0.067 -6.437 -2.898
Mg 3.259 -19.106 -4.112
```

**Fermi-level density of states**: 13.74 states/eV per cell
**Space-group type**: P-1, No. 2
**Formation energy**: 0.001 eV/atom
**V**: 363 Å³ per cell
**Total moment**: 0.00 μB per formula unit
**Theoretical density**: 6.2 g/cm3

(9)
# La2Sm6Mg

La2Sm6Mg after structural relaxation (PBE, the Alexandria database).

Geometry as extended XYZ:
```
9
Lattice="3.626 0.000 0.000 -1.813 3.140 0.000 0.000 0.000 26.867" Properties=species:S:1:pos:R:3 pbc="T T T"
La 1.813 1.047 8.789
La 1.813 1.047 18.078
Sm 1.813 1.047 24.101
Sm 0.000 2.093 11.736
Sm 0.000 2.093 21.224
Sm 0.000 2.093 5.643
Sm 0.000 2.093 15.131
Sm 1.813 1.047 2.767
Mg 0.000 2.093 0.000
```

**Fermi-level density of states**: 12.35 states/eV per cell
**Space-group type**: P-6m2, No. 187
**Formation energy**: 0.071 eV/atom
**V**: 306 Å³ per cell
**Total moment**: 0.00 μB per formula unit
**Relative energy among the computed polymorphs**: 0 meV/atom
**Theoretical density**: 6.5 g/cm3

(10)
# LaSm2Mg

LaSm2Mg after structural relaxation (PBE, the Alexandria database).

Geometry as extended XYZ:
```
4
Lattice="-2.910 1.369 1.629 -3.042 0.508 -1.867 -5.454 -10.044 2.677" Properties=species:S:1:pos:R:3 pbc="T T T"
La -9.418 -8.776 2.514
Sm -4.552 -7.273 1.961
Sm -2.891 -2.158 0.640
Mg -5.703 -4.087 1.220
```

**Fermi-level density of states**: 5.51 states/eV per cell
**Space-group type**: R3m, No. 160
**Formation energy**: 0.044 eV/atom
**V**: 130 Å³ per cell
**Total moment**: 0.00 μB per formula unit
**Relative energy among the computed polymorphs**: 79 meV/atom
**Theoretical density**: 5.9 g/cm3

(11)
# La6Sm5Mg

La6Sm5Mg after structural relaxation (PBE, the Alexandria database).

Geometry as extended XYZ:
```
12
Lattice="-1.878 2.772 -3.996 9.399 -1.387 -1.981 -4.419 -8.625 -0.507" Properties=species:S:1:pos:R:3 pbc="T T T"
Mg 0.000 0.000 0.000
Sm -2.992 -6.000 -2.757
Sm 0.216 -6.197 -1.002
Sm 1.550 -3.620 -3.242
Sm 4.763 -3.816 -1.487
Sm 6.093 -1.241 -3.727
La -1.525 -2.979 -1.353
La 0.051 -6.658 -4.644
La -0.176 -0.395 -3.591
La 3.277 -6.846 -2.893
La 3.050 -0.582 -1.841
La 4.626 -4.262 -5.132
```

**Fermi-level density of states**: 18.44 states/eV per cell
**Space-group type**: Immm, No. 71
**Formation energy**: 0.012 eV/atom
**V**: 417 Å³ per cell
**Total moment**: 0.00 μB per formula unit
**Theoretical density**: 6.4 g/cm3

(12)
# LaSm5Mg6

LaSm5Mg6 after structural relaxation (PBE, the Alexandria database).

Geometry as extended XYZ:
```
12
Lattice="-4.303 -1.642 2.945 -2.376 -4.388 -5.923 2.235 -7.114 4.374" Properties=species:S:1:pos:R:3 pbc="T T T"
Mg -4.600 -7.036 -0.499
Mg -3.429 -4.874 2.419
Mg -2.753 -1.932 -0.027
Mg -3.926 -4.098 -2.951
Mg -1.015 -8.270 -1.024
Mg 0.156 -6.108 1.895
Sm -2.552 -8.053 1.927
Sm -0.682 -2.929 2.444
Sm -1.188 -2.194 -2.962
Sm -1.386 -5.827 4.874
Sm -1.892 -5.091 -0.532
La 0.000 0.000 0.000
```

**Fermi-level density of states**: 13.75 states/eV per cell
**Space-group type**: Cmmm, No. 65
**Formation energy**: -0.104 eV/atom
**V**: 347 Å³ per cell
**Total moment**: 0.00 μB per formula unit
**Theoretical density**: 5.0 g/cm3